# 1
{"formula": "PmMgIrPt", "functional": "PBE-GGA", "state": "optimized geometry", "cell": [[6.773, 0.000, 0.000], [0.000, 6.773, 0.000], [0.000, 0.000, 6.773]], "species": ["Pm", "Pm", "Pm", "Pm", "Mg", "Mg", "Mg", "Mg", "Ir", "Ir", "Ir", "Ir", "Pt", "Pt", "Pt", "Pt"], "frac_coords": [[0.000, 0.000, 0.000], [0.000, 0.500, 0.500], [0.500, 0.000, 0.500], [0.500, 0.500, 0.000], [0.000, 0.000, 0.500], [0.000, 0.500, 0.000], [0.500, 0.000, 0.000], [0.500, 0.500, 0.500], [0.250, 0.250, 0.250], [0.250, 0.750, 0.750], [0.750, 0.250, 0.750], [0.750, 0.750, 0.250], [0.250, 0.250, 0.750], [0.250, 0.750, 0.250], [0.750, 0.250, 0.250], [0.750, 0.750, 0.750]], "mass_density_g_cm3": 11.90, "spacegroup": "F-43m"}

---

# 2
{"formula": "Be2HgBr", "functional": "PBE-GGA", "state": "optimized geometry", "cell": [[6.330, 0.000, 0.000], [0.000, 7.767, 0.000], [-1.948, 0.000, 3.036]], "species": ["Be", "Be", "Be", "Be", "Hg", "Hg", "Br", "Br"], "frac_coords": [[0.250, 0.250, 0.000], [0.250, 0.750, 0.000], [0.750, 0.250, 0.000], [0.750, 0.750, 0.000], [0.000, 0.000, 0.500], [0.500, 0.500, 0.500], [0.000, 0.500, 0.500], [0.500, 0.000, 0.500]], "polymorph_energy_ev_per_atom": 0.486, "mass_density_g_cm3": 6.64, "raw_formation_energy_mev_per_atom": 675, "spacegroup": "C2/m"}

---

# 3
{"formula": "Li2CaAsO4", "functional": "PBE-GGA", "state": "optimized geometry", "cell": [[5.252, 0.000, 0.000], [0.000, 5.252, 0.000], [0.000, 0.000, 6.954]], "species": ["Li", "Li", "Li", "Li", "Ca", "Ca", "As", "As", "O", "O", "O", "O", "O", "O", "O", "O"], "frac_coords": [[0.000, 0.500, 0.250], [0.000, 0.500, 0.750], [0.500, 0.000, 0.250], [0.500, 0.000, 0.750], [0.000, 0.000, 0.000], [0.500, 0.500, 0.500], [0.000, 0.000, 0.500], [0.500, 0.500, 0.000], [0.213, 0.213, 0.645], [0.213, 0.787, 0.355], [0.287, 0.287, 0.145], [0.287, 0.713, 0.855], [0.713, 0.287, 0.855], [0.713, 0.713, 0.145], [0.787, 0.213, 0.355], [0.787, 0.787, 0.645]], "mass_density_g_cm3": 3.34, "raw_formation_energy_mev_per_atom": -1904, "spacegroup": "I-42m"}

---

E_tot values (in eV/atom) by entry order: -5.949 -1.682 -5.693.